Entry from Alexandria: a relaxed structure of HoPbWO6 (GGA+U).

E_tot in eV/atom: -7.143
Magnetization in μB/f.u.: 0.00

a = 4.8766 Å, b = 5.6028 Å, c = 5.6028 Å
α = 120.00°, β = 90.00°, γ = 90.00°
With the nearest neighbours (Å) after each atom.
Atoms (fractional coordinates):
O 0.2781 0.9903 0.7036  1 W 1.96
O 0.2781 0.7133 0.0097  1 W 1.96
O 0.2781 0.2964 0.2867  1 W 1.96
O 0.7219 0.7133 0.7036  1 W 1.96
O 0.7219 0.2964 0.0097  1 W 1.96
O 0.7219 0.9903 0.2867  1 W 1.96
Ho 0.5000 0.6667 0.3333  6 O 2.24
Pb 0.0000 0.3333 0.6667  6 O 2.44
W 0.5000 0.0000 0.0000  6 O 1.96